Entry 1:
A geometry-optimized Ni3Ru4 structure. Source: Alexandria, functional GGA-PBE.

Cell and atoms, written as POSCAR:
```
Ni3Ru4
1.0
4.600 0.000 0.000
-2.300 3.984 0.000
0.000 0.000 4.874
Ni Ru
3 4
direct
0.000 0.500 0.000
0.500 0.000 0.000
0.500 0.500 0.000
0.000 0.000 0.257
0.000 0.000 0.743
0.333 0.667 0.500
0.667 0.333 0.500
```

Values from the calculation:
Energy relative to the elements in kJ/mol of atoms: 22
Excess energy over the best structure of this formula in the dataset in meV per atom: 117
Calculated volume in Å³ per cell: 89
DFT total energy in eV/cell: -52.83
SG: P6/mmm, No. 191

=====

Entry 2:
A geometry-optimized Ce2ZrO structure. Source: Alexandria, functional GGA-PBE.

Cell and atoms, written as POSCAR:
```
Ce2ZrO
1.0
1.595 0.921 9.547
-1.595 0.921 9.547
0.000 -1.842 9.547
Ce Zr O
2 1 1
direct
0.110 0.110 0.110
0.890 0.890 0.890
0.000 0.000 0.000
0.500 0.500 0.500
```

Values from the calculation:
ΔE_f (raw) in eV/f.u.: -4.17
Calculated volume in Å³ per cell: 84
DFT total energy in eV/cell: -29.54
SG: R-3m, No. 166

=====

Entry 3:
A geometry-optimized Cu2Ru structure. Source: Alexandria, functional GGA-PBE.

Cell and atoms, written as POSCAR:
```
Cu2Ru
1.0
-1.235 2.062 8.175
1.235 -2.062 8.175
1.235 2.062 -8.175
Cu Ru
4 2
direct
0.286 0.036 0.250
0.435 0.185 0.250
0.565 0.815 0.750
0.714 0.964 0.750
0.135 0.385 0.750
0.865 0.615 0.250
```

Values from the calculation:
Energy relative to the elements in kJ/mol of atoms: 45
Excess energy over the best structure of this formula in the dataset in meV per atom: 323
Calculated volume in Å³ per cell: 83
DFT total energy in eV/cell: -32.16
SG: Imma, No. 74

=====

Entry 4:
A geometry-optimized CrAuSeBr2 structure. Source: Alexandria, functional GGA-PBE.

Cell and atoms, written as POSCAR:
```
CrAuSeBr2
1.0
5.122 0.000 0.000
0.000 5.122 0.000
0.000 0.000 4.816
Cr Au Se Br
1 1 1 2
direct
0.000 0.000 0.000
0.500 0.500 0.500
0.000 0.000 0.500
0.000 0.500 0.000
0.500 0.000 0.000
```

Values from the calculation:
ΔE_f (raw) in eV/f.u.: 0.87
Excess energy over the best structure of this formula in the dataset in meV per atom: 0
Calculated volume in Å³ per cell: 126
DFT total energy in eV/cell: -18.86
SG: P4/mmm, No. 123

=====

Which formula does entry 1 have? Ni3Ru4

=====

What is the calculated volume in the fourth record? 126 Å³ per cell

=====

Repeat the third record exactly.
A geometry-optimized Cu2Ru structure. Source: Alexandria, functional GGA-PBE.

Cell and atoms, written as POSCAR:
```
Cu2Ru
1.0
-1.235 2.062 8.175
1.235 -2.062 8.175
1.235 2.062 -8.175
Cu Ru
4 2
direct
0.286 0.036 0.250
0.435 0.185 0.250
0.565 0.815 0.750
0.714 0.964 0.750
0.135 0.385 0.750
0.865 0.615 0.250
```

Values from the calculation:
Energy relative to the elements in kJ/mol of atoms: 45
Excess energy over the best structure of this formula in the dataset in meV per atom: 323
Calculated volume in Å³ per cell: 83
DFT total energy in eV/cell: -32.16
SG: Imma, No. 74